(1)
A relaxed HfNpAl4 crystal. Source: Alexandria, functional PBE-GGA.

The space group is F-43m (No. 216) and the conventional cell measures 7.6517, 7.6517 and 7.6517 Å, with angles of 90.00, 90.00 and 90.00 degrees. The inequivalent atoms are Hf at (0.0000, 0.0000, 0.0000), Np at (0.2500, 0.2500, 0.7500) and Al at (0.1251, 0.1251, 0.3749).

The total energy is -6.488 eV per atom.

(2)
A relaxed CsTlCuAu2 crystal. Source: Alexandria, functional PBE-GGA.

The space group is P4/mmm (No. 123) and the conventional cell measures 5.1403, 5.1403 and 5.7636 Å, with angles of 90.00, 90.00 and 90.00 degrees. The inequivalent atoms are Cs at (0.0000, 0.0000, 0.0000), Tl at (0.5000, 0.5000, 0.0000), Cu at (0.0000, 0.0000, 0.5000) and Au at (0.0000, 0.5000, 0.5000).

The total energy is -2.491 eV per atom.

(3)
A relaxed Pa3HPb crystal. Source: Alexandria, functional PBE-GGA.

The space group is Pm-3m (No. 221) and the conventional cell measures 4.7251, 4.7251 and 4.7251 Å, with angles of 90.00, 90.00 and 90.00 degrees. The inequivalent atoms are Pa at (0.0000, 0.0000, 0.5000), H at (0.0000, 0.0000, 0.0000) and Pb at (0.5000, 0.5000, 0.5000).

The total energy is -7.189 eV per atom.

(4)
A relaxed NdHo6Pd3 crystal. Source: Alexandria, functional PBE-GGA.

The space group is Cmc2_1 (No. 36) and the conventional cell measures 11.3792, 13.1501 and 7.2263 Å, with angles of 90.00, 90.00 and 90.00 degrees. The inequivalent atoms are Nd at (0.0000, 0.1860, 0.0000), Ho at (0.0000, 0.2685, 0.5193), Ho at (0.0000, 0.4690, 0.8739), Ho at (0.1696, 0.0398, 0.3706), Ho at (0.2271, 0.3085, 0.2188), Pd at (0.0000, 0.0735, 0.6599) and Pd at (0.1883, 0.3973, 0.5841).

The total energy is -5.288 eV per atom.

(5)
A relaxed Er3MgRu crystal. Source: Alexandria, functional PBE-GGA.

The space group is Pm-3m (No. 221) and the conventional cell measures 5.3083, 5.3083 and 5.3083 Å, with angles of 90.00, 90.00 and 90.00 degrees. The inequivalent atoms are Er at (0.0000, 0.0000, 0.5000), Mg at (0.5000, 0.5000, 0.5000) and Ru at (0.0000, 0.0000, 0.0000).

The total energy is -5.011 eV per atom.

(6)
A relaxed LiCoCl crystal. Source: Alexandria, functional PBE-GGA.

The space group is Fmm2 (No. 42) and the conventional cell measures 3.1788, 5.2822 and 11.5644 Å, with angles of 90.00, 90.00 and 90.00 degrees. The inequivalent atoms are Li at (0.0000, 0.0000, 0.0000), Co at (0.0000, 0.0000, 0.6908) and Cl at (0.0000, 0.0000, 0.3480).

As for the formation energy (no corrections): -28 meV per atom.

(7)
A relaxed SrGe3Sb crystal. Source: Alexandria, functional PBE-GGA.

The space group is Pm-3m (No. 221) and the conventional cell measures 5.3916, 5.3916 and 5.3916 Å, with angles of 90.00, 90.00 and 90.00 degrees. The inequivalent atoms are Sr at (0.0000, 0.0000, 0.0000), Ge at (0.0000, 0.5000, 0.5000) and Sb at (0.5000, 0.5000, 0.5000).

As for the formation energy (no corrections): 368 meV per atom.

(8)
A relaxed ZnInPb2 crystal. Source: Alexandria, functional PBE-GGA.

The space group is Pmmm (No. 47) and the conventional cell measures 3.5259, 4.3287 and 7.0561 Å, with angles of 90.00, 90.00 and 90.00 degrees. The inequivalent atoms are Zn at (0.0000, 0.0000, 0.0000), In at (0.0000, 0.0000, 0.5000) and Pb at (0.5000, 0.5000, 0.2347).

The total energy is -2.751 eV per atom.

(9)
A relaxed K2PuInS4 crystal. Source: Alexandria, functional PBE-GGA.

The space group is P2/m (No. 10) and the conventional cell measures 7.0730, 4.0306 and 7.7068 Å, with angles of 90.00, 108.01 and 90.00 degrees. The inequivalent atoms are K at (0.0000, 0.0000, 0.0000), K at (0.5000, 0.5000, 0.0000), Pu at (0.0000, 0.5000, 0.5000), In at (0.5000, 0.0000, 0.5000), S at (0.2354, 0.0000, 0.7021) and S at (0.2766, 0.5000, 0.3037).

As for the formation energy (no corrections): -1198 meV per atom.

(10)
A relaxed Rb2VOs2 crystal. Source: Alexandria, functional PBE-GGA.

The space group is I4/mmm (No. 139) and the conventional cell measures 3.5105, 3.5105 and 24.6249 Å, with angles of 90.00, 90.00 and 90.00 degrees. The inequivalent atoms are Rb at (0.0000, 0.0000, 0.1245), V at (0.0000, 0.0000, 0.5000) and Os at (0.0000, 0.5000, 0.2500).

The total energy is -5.344 eV per atom.

Copy entry 10 word for word.
A relaxed Rb2VOs2 crystal. Source: Alexandria, functional PBE-GGA.

The space group is I4/mmm (No. 139) and the conventional cell measures 3.5105, 3.5105 and 24.6249 Å, with angles of 90.00, 90.00 and 90.00 degrees. The inequivalent atoms are Rb at (0.0000, 0.0000, 0.1245), V at (0.0000, 0.0000, 0.5000) and Os at (0.0000, 0.5000, 0.2500).

The total energy is -5.344 eV per atom.